Density functional theory data (GGA+U) for crystalline FePdIO2 at its relaxed geometry.

The total magnetic moment is 1.0637 μB/atom. Its crystal system is tetragonal. The value obtained for the offset from the most stable computed form is 0 meV per atom.

The structure belongs to space group P4/mmm (No. 123); the cell edges are 3.7957, 3.7957 and 6.6806 Å and the angles 90.00°, 90.00° and 90.00°. Symmetry generates all atoms from Fe at (0.0000, 0.0000, 0.0000), Pd at (0.5000, 0.5000, 0.5000), I at (0.0000, 0.0000, 0.5000) and O at (0.0000, 0.5000, 0.0000).